CaZnCd2 at its PBEsol-relaxed geometry, computed with meta-GGA SCAN.

The structure belongs to space group P4mm (No. 99); the cell edges are 3.380, 3.380 and 7.565 Å and the angles 90.00°, 90.00° and 90.00°. The inequivalent atoms are Ca at (0.000, 0.000, 0.000), Zn at (0.500, 0.500, 0.739), Cd at (0.000, 0.000, 0.541) and Cd at (0.500, 0.500, 0.296).

The calculation puts the total energy at -21.178 eV per atom. The calculation puts the formation energy at -0.1763 eV per atom. The calculation puts the total moment at 0.00 μB per atom.


In2IrPb at its PBEsol-relaxed geometry, computed with meta-GGA SCAN.

The structure belongs to space group R3m (No. 160, hexagonal axes); the cell edges are 3.2881, 3.2881 and 28.6840 Å and the angles 90.00°, 90.00° and 120.00°. The inequivalent atoms are In at (0.0000, 0.0000, 0.0000), In at (0.0000, 0.0000, 0.2415), Ir at (0.0000, 0.0000, 0.7346) and Pb at (0.0000, 0.0000, 0.4739).

The calculation puts the total energy at -53.136 eV per atom. The calculation puts the formation energy at 0.2775 eV per atom. The calculation puts the total moment at 0.00 μB per atom.


SiSb4Ru at its PBEsol-relaxed geometry, computed with meta-GGA SCAN.

The structure belongs to space group F-43m (No. 216); the cell edges are 8.403, 8.403 and 8.403 Å and the angles 90.00°, 90.00° and 90.00°. The inequivalent atoms are Si at (0.000, 0.000, 0.000), Sb at (0.125, 0.125, 0.625) and Ru at (0.250, 0.250, 0.250).

The calculation puts the total energy at -31.108 eV per atom. The calculation puts the total moment at 0.41 μB per atom. The value obtained for the raw formation energy is 1.206 eV/atom.


BaCoCl at its PBEsol-relaxed geometry, computed with meta-GGA SCAN.

The structure belongs to space group F-43m (No. 216); the cell edges are 7.130, 7.130 and 7.130 Å and the angles 90.00°, 90.00° and 90.00°. The inequivalent atoms are Ba at (0.000, 0.000, 0.000), Co at (0.000, 0.000, 0.500) and Cl at (0.250, 0.250, 0.750).

The relative energy among the computed polymorphs is 0.000 eV/atom. The calculation puts the total energy at -21.870 eV per atom. The calculation puts the total moment at 0.67 μB per atom. The value obtained for the raw formation energy is -0.260 eV/atom.